Record 1
Material: CaNdAu2
Method: DFT, SCAN
State: single point on PBEsol structure

Cell: 5.0945 5.0945 5.0945 Å, 60.00 60.00 60.00°
Sites, in units of the cell vectors:
Nd  0.5000  0.5000  0.5000
Au  0.2500  0.2500  0.2500
Au  0.7500  0.7500  0.7500
Ca  0.0000  0.0000  0.0000

For the formation energy, the calculation gives -1004 meV/atom. The space-group type is No. 225.

Record 2
Material: CaNi2Au
Method: DFT, SCAN
State: single point on PBEsol structure

Cell: 2.9322 3.6648 6.5875 Å, 90.00 116.30 90.00°
Site moments in Bohr magnetons follow the coordinates.
Sites, in units of the cell vectors:
Ca  0.0000  0.5000  0.5000  -0.05
Ni  0.2030  0.0000  0.2033  0.42
Ni  0.7970  0.0000  0.7967  0.42
Au  0.5000  0.5000  0.0000  0.02

For the formation energy, the calculation gives 64 meV/atom. The space-group type is No. 10.

Record 3
Material: Ca3NiAu
Method: DFT, SCAN
State: single point on PBEsol structure

Cell: 5.4671 5.4671 5.4671 Å, 90.00 90.00 90.00°
Site moments in Bohr magnetons follow the coordinates.
Sites, in units of the cell vectors:
Ca  0.0000  0.0000  0.5000  -0.01
Ca  0.5000  0.0000  0.0000  -0.01
Ca  0.0000  0.5000  0.0000  -0.01
Au  0.0000  0.0000  0.0000  -0.01
Ni  0.5000  0.5000  0.5000  0.76

For the formation energy, the calculation gives 134 meV/atom. The space-group type is No. 221.